The following is a DFT calculation (PBE) of a relaxed structure of ErMnSe.

```
6
Lattice="-1.404 3.126 -1.802 -3.388 1.514 1.106 3.696 8.101 7.016" Properties=species:S:1:pos:R:3 pbc="T T T"
Se -0.751 2.594 0.927
Se -0.345 10.146 5.393
Mn -2.104 7.968 2.984
Mn 1.008 4.773 3.335
Er 0.522 7.695 4.625
Er -1.618 5.045 1.695
```

- symmetry = No. 166
- size of the total moment (μB per formula unit) = 0.000
- raw formation energy (eV/atom) = -0.574

=====

The following is a DFT calculation (PBE) of a relaxed structure of Sm2ErMnSe6.

```
10
Lattice="-4.156 -5.562 1.603 -2.132 -4.453 -5.137 2.981 -6.860 -0.232" Properties=species:S:1:pos:R:3 pbc="T T T"
Sm -1.993 -8.202 -1.946
Sm 2.652 -6.632 -0.294
Se -0.766 -9.561 0.387
Se -0.990 -10.790 -2.991
Se 0.931 -7.829 -2.275
Se -4.477 -9.678 -1.506
Se -2.136 -7.153 -4.670
Se -2.093 -5.883 -0.170
Er -3.554 -11.911 -3.025
Mn -1.933 -3.452 -1.148
```

- symmetry = No. 146
- size of the total moment (μB per formula unit) = 3.999
- raw formation energy (eV/atom) = -1.412

=====

The following is a DFT calculation (PBE) of a relaxed structure of Er3MnTl3Se8.

```
15
Lattice="8.063 0.000 -0.001 -4.032 6.983 -0.030 0.000 -4.621 7.877" Properties=species:S:1:pos:R:3 pbc="T T T"
Tl 2.016 3.491 -0.015
Tl 0.000 0.000 0.000
Tl -2.016 3.491 -0.015
Se 6.223 -1.255 2.449
Se 4.031 2.542 2.432
Se 1.839 -1.255 2.449
Se 2.192 3.617 5.397
Se 4.031 0.024 5.539
Se 0.000 2.337 2.307
Se 0.000 -0.181 5.413
Se -2.192 3.617 5.397
Er 4.031 -2.310 3.938
Er -2.016 1.181 3.923
Er 2.015 1.181 3.923
Mn 0.000 -2.310 3.938
```

- symmetry = No. 166
- size of the total moment (μB per formula unit) = 3.144
- raw formation energy (eV/atom) = -1.132

=====

The following is a DFT calculation (PBE) of a relaxed structure of ErMn2Tl3Se6.

```
12
Lattice="6.793 0.017 0.008 -3.380 5.893 0.008 -1.130 -1.956 7.673" Properties=species:S:1:pos:R:3 pbc="T T T"
Se 0.098 0.170 6.252
Se 2.439 -0.001 1.483
Se 3.504 1.842 6.206
Se -0.155 3.955 6.206
Se 2.186 3.785 1.437
Se -1.220 2.112 1.483
Tl -2.337 3.986 3.844
Tl 1.142 1.977 3.844
Tl 4.621 -0.032 3.844
Er 0.000 0.000 0.000
Mn 3.407 1.973 0.008
Mn 0.006 3.937 0.008
```

- symmetry = No. 12
- size of the total moment (μB per formula unit) = 8.064
- raw formation energy (eV/atom) = -0.713

=====

The following is a DFT calculation (PBE) of a relaxed structure of Y2ErMnSe6.

```
10
Lattice="-6.520 2.246 -1.337 -4.451 1.185 5.295 -1.679 7.101 1.661" Properties=species:S:1:pos:R:3 pbc="T T T"
Er -9.909 6.633 4.142
Se -6.057 3.384 5.166
Se -3.896 6.194 3.404
Se -7.186 7.236 4.391
Se -9.220 4.608 2.234
Se -6.308 7.137 0.910
Se -5.183 3.344 0.771
Y -6.432 4.942 2.792
Y -1.772 6.813 1.645
Mn -3.601 1.317 1.330
```

- symmetry = No. 1
- size of the total moment (μB per formula unit) = 3.999
- raw formation energy (eV/atom) = -1.425

=====

The following is a DFT calculation (PBE) of a relaxed structure of Er2MnSi2.

```
10
Lattice="5.699 0.000 0.000 0.000 6.171 0.000 -2.849 -3.086 5.974" Properties=species:S:1:pos:R:3 pbc="T T T"
Er 2.849 4.932 1.730
Er 2.849 1.847 4.244
Er 0.000 1.239 1.730
Er 0.000 -1.847 4.244
Si 0.000 1.383 4.693
Si 0.000 4.469 1.281
Si 2.849 1.702 1.281
Si 2.849 -1.383 4.693
Mn 1.425 3.086 0.000
Mn 4.274 3.086 0.000
```

- symmetry = No. 72
- size of the total moment (μB per formula unit) = 2.178
- raw formation energy (eV/atom) = -0.506

=====

The following is a DFT calculation (PBE) of a relaxed structure of ErMn3Si3.

```
14
Lattice="6.300 0.000 0.000 0.000 6.300 0.000 0.000 0.000 6.300" Properties=species:S:1:pos:R:3 pbc="T T T"
Mn 3.150 4.725 0.000
Mn 3.150 1.575 0.000
Mn 4.725 0.000 3.150
Mn 0.000 3.150 1.575
Mn 1.575 0.000 3.150
Mn 0.000 3.150 4.725
Si 1.575 3.150 0.000
Si 3.150 0.000 1.575
Si 3.150 0.000 4.725
Si 0.000 4.725 3.150
Si 4.725 3.150 0.000
Si 0.000 1.575 3.150
Er 0.000 0.000 0.000
Er 3.150 3.150 3.150
```

- symmetry = No. 223
- size of the total moment (μB per formula unit) = 3.850
- raw formation energy (eV/atom) = 0.229

=====

The following is a DFT calculation (PBE) of a relaxed structure of Er2Mn12Si7.

```
21
Lattice="3.556 0.000 0.000 0.000 8.367 -4.831 0.000 0.000 9.661" Properties=species:S:1:pos:R:3 pbc="T T T"
Mn 1.778 7.554 1.609
Mn 1.778 4.676 4.661
Mn 1.778 1.698 3.282
Mn 0.000 0.455 5.010
Mn 0.000 2.388 -0.873
Mn 0.000 6.417 3.200
Mn 0.000 4.111 6.762
Mn 0.000 7.929 -2.326
Mn 1.778 1.993 6.549
Mn 1.778 3.197 0.906
Mn 1.778 5.984 -2.516
Mn 0.000 3.800 2.720
Si 0.000 6.203 5.585
Si 0.000 1.735 1.497
Si 0.000 2.789 4.831
Si 1.778 7.661 -0.812
Si 1.778 3.833 -1.398
Si 0.000 0.429 7.410
Si 1.778 5.239 2.210
Er 1.778 0.000 0.000
Er 0.000 5.578 0.000
```

- symmetry = No. 174
- size of the total moment (μB per formula unit) = 24.037
- raw formation energy (eV/atom) = -0.414

=====

The following is a DFT calculation (PBE) of a relaxed structure of ErMn2Si2.

```
5
Lattice="5.834 0.010 0.000 3.257 4.840 0.000 -4.546 -2.425 2.737" Properties=species:S:1:pos:R:3 pbc="T T T"
Mn 1.629 2.420 1.368
Mn 2.917 0.005 1.368
Si 3.463 1.847 0.000
Si 5.628 3.003 0.000
Er 0.000 0.000 0.000
```

- symmetry = No. 139
- size of the total moment (μB per formula unit) = 3.556
- raw formation energy (eV/atom) = -0.626

=====

The following is a DFT calculation (PBE) of a relaxed structure of ErMnSi.

```
12
Lattice="4.066 0.000 0.000 0.000 6.896 0.000 0.000 0.000 7.535" Properties=species:S:1:pos:R:3 pbc="T T T"
Si 3.050 4.914 0.834
Si 1.017 1.982 6.701
Si 1.017 5.430 4.602
Si 3.050 1.466 2.933
Mn 1.017 4.415 7.083
Mn 3.050 2.481 0.452
Mn 1.017 0.967 4.219
Mn 3.050 5.929 3.316
Er 3.050 6.826 6.131
Er 1.017 3.518 2.363
Er 1.017 0.070 1.404
Er 3.050 3.378 5.172
```

- symmetry = No. 62
- size of the total moment (μB per formula unit) = 2.281
- raw formation energy (eV/atom) = -0.530

=====

The following is a DFT calculation (PBE) of a relaxed structure of ErMn3Si2.

```
12
Lattice="-2.907 -2.507 0.760 2.574 -1.899 -6.493 3.654 -2.549 5.569" Properties=species:S:1:pos:R:3 pbc="T T T"
Mn 1.481 -1.213 1.664
Mn 1.059 -3.409 2.883
Mn 0.735 -3.730 0.584
Mn 1.839 -5.741 -1.828
Mn 2.585 -3.225 -0.747
Mn 2.261 -3.546 -3.047
Er 0.564 -1.088 -1.434
Er 2.757 -5.866 1.270
Si 4.034 -5.073 -1.303
Si 0.323 -3.962 -1.758
Si -0.714 -1.881 1.139
Si 2.997 -2.992 1.594
```

- symmetry = No. 12
- size of the total moment (μB per formula unit) = 1.804
- raw formation energy (eV/atom) = -0.461

=====

The following is a DFT calculation (PBE) of a relaxed structure of ErMnSi.

```
12
Lattice="-1.480 6.159 -0.357 -0.367 -0.454 -6.317 -5.763 -1.360 0.432" Properties=species:S:1:pos:R:3 pbc="T T T"
Si -5.713 4.611 -0.509
Si -3.952 2.627 -3.654
Si -0.776 2.397 -2.805
Si -1.896 -0.267 -5.734
Mn -0.314 0.969 -1.133
Mn -4.415 4.056 -5.325
Mn -5.435 2.955 -2.001
Mn -2.175 1.389 -4.241
Er -3.377 0.852 -1.576
Er -1.351 4.172 -4.882
Er -4.946 0.056 -4.614
Er -2.663 4.288 -1.628
```

- symmetry = No. 92
- size of the total moment (μB per formula unit) = 0.000
- raw formation energy (eV/atom) = 0.010

=====

The following is a DFT calculation (PBE) of a relaxed structure of ErMnSi.

```
3
Lattice="-1.937 -0.650 -2.407 -0.691 -2.789 1.309 -2.471 3.820 3.027" Properties=species:S:1:pos:R:3 pbc="T T T"
Er -2.171 -1.244 0.012
Mn -4.450 0.021 1.504
Si -2.441 1.355 1.598
```

- symmetry = No. 107
- size of the total moment (μB per formula unit) = 0.003
- raw formation energy (eV/atom) = -0.235

=====

The following is a DFT calculation (PBE) of a relaxed structure of ErMn5Si3.

```
18
Lattice="3.836 0.000 0.000 -1.918 6.058 0.000 0.000 0.000 11.019" Properties=species:S:1:pos:R:3 pbc="T T T"
Si 1.918 1.424 4.869
Si 1.918 1.424 0.641
Si 0.000 4.633 10.379
Si 0.000 4.633 6.150
Si 1.918 4.559 2.755
Si 0.000 1.499 8.265
Mn 0.000 2.333 10.433
Mn 0.000 5.343 3.880
Mn 0.000 0.000 5.510
Mn 0.000 5.343 1.630
Mn 1.918 3.724 0.587
Mn 0.000 2.333 6.097
Mn 1.918 0.714 9.389
Mn 1.918 0.714 7.140
Mn 1.918 3.724 4.923
Mn 0.000 0.000 0.000
Er 0.000 2.058 2.755
Er 1.918 3.999 8.265
```

- symmetry = No. 63
- size of the total moment (μB per formula unit) = 7.151
- raw formation energy (eV/atom) = -0.358

=====

The following is a DFT calculation (PBE) of a relaxed structure of Er2Mn3Si5.

```
40
Lattice="10.544 0.000 0.000 0.000 10.544 0.000 0.000 0.000 5.385" Properties=species:S:1:pos:R:3 pbc="T T T"
Si 5.008 1.954 0.000
Si 10.279 3.318 2.692
Si 3.432 8.704 4.039
Si 0.264 7.226 2.692
Si 8.704 7.112 4.039
Si 8.704 7.112 1.346
Si 8.590 5.008 0.000
Si 3.318 0.264 2.692
Si 7.112 1.840 4.039
Si 1.954 5.536 0.000
Si 1.840 3.432 1.346
Si 5.272 5.272 4.067
Si 3.432 8.704 1.346
Si 0.000 0.000 4.010
Si 7.226 10.279 2.692
Si 0.000 0.000 1.375
Si 1.840 3.432 4.039
Si 7.112 1.840 1.346
Si 5.272 5.272 1.318
Si 5.536 8.590 0.000
Mn 1.276 1.534 2.692
Mn 0.000 5.272 1.346
Mn 6.548 3.737 0.000
Mn 6.806 6.548 0.000
Mn 0.000 5.272 4.039
Mn 9.009 1.276 2.692
Mn 1.534 9.267 2.692
Mn 5.272 0.000 1.346
Mn 3.737 3.995 0.000
Mn 5.272 0.000 4.039
Mn 3.995 6.806 0.000
Mn 9.267 9.009 2.692
Er 7.763 4.471 2.692
Er 8.053 9.742 0.000
Er 2.781 6.073 2.692
Er 4.471 2.781 2.692
Er 6.073 7.763 2.692
Er 0.801 8.053 0.000
Er 2.491 0.801 0.000
Er 9.742 2.491 0.000
```

- symmetry = No. 128
- size of the total moment (μB per formula unit) = 0.147
- raw formation energy (eV/atom) = -0.634

=====

The following is a DFT calculation (PBE) of a relaxed structure of ErTaMnSi2.

```
5
Lattice="3.907 0.000 0.000 0.000 3.907 0.000 -1.953 -1.953 5.583" Properties=species:S:1:pos:R:3 pbc="T T T"
Si 0.000 0.000 4.393
Si 1.953 1.953 1.190
Ta 0.000 1.953 2.791
Er 0.000 0.000 0.000
Mn 1.953 0.000 2.791
```

- symmetry = No. 119
- size of the total moment (μB per formula unit) = 1.210
- raw formation energy (eV/atom) = -0.547

=====

The following is a DFT calculation (PBE) of a relaxed structure of ErTiMnSi2.

```
5
Lattice="3.898 0.000 0.000 0.000 3.898 0.000 -1.949 -1.949 5.494" Properties=species:S:1:pos:R:3 pbc="T T T"
Ti 0.000 1.949 2.747
Si 1.949 1.949 1.195
Si 0.000 0.000 4.298
Er 0.000 0.000 0.000
Mn 1.949 0.000 2.747
```

- symmetry = No. 119
- size of the total moment (μB per formula unit) = 1.221
- raw formation energy (eV/atom) = -0.661

=====

The following is a DFT calculation (PBE) of a relaxed structure of SmEr3Mn.

```
5
Lattice="5.274 0.000 0.000 0.000 5.274 0.000 0.000 0.000 5.274" Properties=species:S:1:pos:R:3 pbc="T T T"
Sm 2.637 2.637 2.637
Mn 0.000 0.000 0.000
Er 0.000 2.637 0.000
Er 2.637 0.000 0.000
Er 0.000 0.000 2.637
```

- symmetry = No. 221
- size of the total moment (μB per formula unit) = 0.616
- DFT formation energy (eV/atom) = 0.21

=====

The following is a DFT calculation (PBE) of a relaxed structure of Sm2ErMn.

```
4
Lattice="3.520 0.000 0.000 1.760 3.048 0.000 1.760 1.016 10.574" Properties=species:S:1:pos:R:3 pbc="T T T"
Sm 5.280 3.048 8.244
Sm 1.760 1.016 2.330
Mn 0.000 0.000 0.000
Er 3.520 2.032 5.287
```

- symmetry = No. 166
- size of the total moment (μB per formula unit) = 3.636
- DFT formation energy (eV/atom) = 0.27

=====

The following is a DFT calculation (PBE) of a relaxed structure of Sm2ErMn.

```
4
Lattice="3.588 0.000 0.000 0.000 3.588 0.000 0.000 0.000 8.722" Properties=species:S:1:pos:R:3 pbc="T T T"
Mn 1.794 1.794 0.000
Sm 0.000 0.000 6.898
Sm 0.000 0.000 1.824
Er 1.794 1.794 4.361
```

- symmetry = No. 123
- size of the total moment (μB per formula unit) = 3.961
- DFT formation energy (eV/atom) = 0.16